Below is an optimized crystal structure of VZn2SnN4, with properties calculated at the GGA-PBE level.

crystal system	tetragonal
final energy	-0.2321	Ha/atom
DOS(E_F)	1.80	states/eV/f.u.

Cell: 4.779 4.779 5.651 Å, 115.02 115.02 90.00°
Positions (direct):
N1 0.844 0.396 0.240
N2 0.156 0.156 0.760
N3 0.604 0.604 0.760
N4 0.396 0.844 0.240
V1 0.500 0.500 0.000
Sn1 0.000 0.000 0.000
Zn1 0.750 0.250 0.500
Zn2 0.250 0.750 0.500



Below is an optimized crystal structure of Sn7Br12Cl, with properties calculated at the GGA-PBE level.

crystal system	trigonal
final energy	-0.1175	Ha/atom
DOS(E_F)	3.67	states/eV/f.u.

Cell: 9.908 9.908 9.908 Å, 108.16 108.16 108.16°
Positions (direct):
Sn1 0.886 0.967 0.649
Sn2 0.114 0.033 0.351
Sn3 0.033 0.351 0.114
Sn4 0.649 0.886 0.967
Sn5 0.351 0.114 0.033
Sn6 0.967 0.649 0.886
Sn7 0.500 0.500 0.500
Br1 0.675 0.204 0.062
Br2 0.839 0.641 0.547
Br3 0.453 0.161 0.359
Br4 0.325 0.796 0.938
Br5 0.062 0.675 0.204
Br6 0.641 0.547 0.839
Br7 0.204 0.062 0.675
Br8 0.796 0.938 0.325
Br9 0.359 0.453 0.161
Br10 0.547 0.839 0.641
Br11 0.938 0.325 0.796
Br12 0.161 0.359 0.453
Cl1 0.000 0.000 0.000



Below is an optimized crystal structure of Nd8In2Ag, with properties calculated at the GGA-PBE level.

crystal system	monoclinic
excess energy over the best structure of this formula in the dataset	0.017	eV per atom
final energy	-0.1624	Ha/atom
DOS(E_F)	11.62	states/eV/f.u.
DFT formation energy	-193	meV per atom

Cell: 5.330 6.988 10.048 Å, 103.25 105.38 90.00°
Positions (direct):
In1 0.184 0.744 0.368
In2 0.816 0.256 0.632
Nd1 0.984 0.230 0.968
Nd2 0.345 0.024 0.691
Nd3 0.593 0.467 0.186
Nd4 0.016 0.770 0.032
Nd5 0.407 0.533 0.814
Nd6 0.207 0.298 0.413
Nd7 0.793 0.702 0.587
Nd8 0.655 0.976 0.309
Ag1 0.500 0.000 0.000



Below is an optimized crystal structure of Cs2RbSb2, with properties calculated at the GGA-PBE level.

crystal system	tetragonal
excess energy over the best structure of this formula in the dataset	0.099	eV per atom
final energy	-0.0895	Ha/atom
DOS(E_F)	7.06	states/eV/f.u.

Cell: 5.882 5.882 8.785 Å, 70.44 70.44 90.00°
Positions (direct):
Rb1 0.000 0.000 0.000
Sb1 0.590 0.590 0.820
Sb2 0.410 0.410 0.180
Cs1 0.750 0.250 0.500
Cs2 0.250 0.750 0.500



Below is an optimized crystal structure of Sr3YBi, with properties calculated at the GGA-PBE level.

crystal system	cubic
excess energy over the best structure of this formula in the dataset	0.613	eV per atom
final energy	-0.0886	Ha/atom
DOS(E_F)	5.21	states/eV/f.u.
DFT formation energy	668	meV per atom

Cell: 6.303 6.303 6.303 Å, 90.00 90.00 90.00°
Positions (direct):
Sr1 0.500 0.000 0.000
Sr2 0.000 0.000 0.500
Sr3 0.000 0.500 0.000
Y1 0.000 0.000 0.000
Bi1 0.500 0.500 0.500



Below is an optimized crystal structure of KSr3Rh, with properties calculated at the GGA-PBE level.

crystal system	monoclinic
excess energy over the best structure of this formula in the dataset	0.180	eV per atom
final energy	-0.0976	Ha/atom
DOS(E_F)	2.91	states/eV/f.u.
DFT formation energy	44	meV per atom

Cell: 4.317 12.930 8.644 Å, 90.00 75.61 90.00°
Positions (direct):
Rh1 0.397 0.250 0.706
Rh2 0.603 0.750 0.294
Sr1 0.377 0.033 0.744
Sr2 0.377 0.467 0.744
Sr3 0.623 0.533 0.256
Sr4 0.623 0.967 0.256
Sr5 0.988 0.750 0.524
Sr6 0.012 0.250 0.476
K1 0.253 0.750 0.995
K2 0.747 0.250 0.005



Below is an optimized crystal structure of LiTm2NpS5, with properties calculated at the GGA-PBE level.

crystal system	orthorhombic
final energy	-0.2406	Ha/atom
DOS(E_F)	10.16	states/eV/f.u.

Cell: 3.854 8.250 11.764 Å, 90.00 90.00 103.51°
Positions (direct):
S1 0.499 0.998 0.783
S2 0.309 0.617 0.338
S3 0.955 0.910 0.576
S4 0.045 0.090 0.076
S5 0.691 0.383 0.838
S6 0.366 0.732 0.005
S7 0.712 0.423 0.166
S8 0.634 0.268 0.505
S9 0.288 0.577 0.666
S10 0.501 0.002 0.283
Tm1 0.891 0.781 0.185
Tm2 0.124 0.249 0.292
Tm3 0.109 0.219 0.685
Tm4 0.876 0.751 0.792
Li1 0.485 0.970 0.478
Li2 0.515 0.030 0.978
Np1 0.802 0.605 0.502
Np2 0.198 0.395 0.002



Below is an optimized crystal structure of Sr2BPt, with properties calculated at the GGA-PBE level.

crystal system	tetragonal
final energy	-0.1312	Ha/atom
DOS(E_F)	2.29	states/eV/f.u.
DFT formation energy	451	meV per atom

Cell: 7.807 7.807 6.572 Å, 53.56 53.56 90.00°
Positions (direct):
Sr1 0.875 0.859 0.750
Sr2 0.375 0.391 0.750
Sr3 0.609 0.125 0.250
Sr4 0.141 0.625 0.250
Pt1 0.750 0.250 0.500
Pt2 0.000 0.000 0.000
B1 0.500 0.500 0.000
B2 0.250 0.750 0.500



Below is an optimized crystal structure of Er4Cd3, with properties calculated at the GGA-PBE level.

crystal system	trigonal
final energy	-0.1184	Ha/atom
DOS(E_F)	9.18	states/eV/f.u.
DFT formation energy	-223	meV per atom

Cell: 6.452 8.410 8.410 Å, 113.70 104.82 104.82°
Positions (direct):
Er1 0.219 0.854 0.297
Er2 0.000 0.000 0.000
Er3 0.781 0.146 0.703
Er4 0.365 0.443 0.146
Er5 0.922 0.703 0.557
Er6 0.635 0.557 0.854
Er7 0.078 0.297 0.443
Er8 0.500 0.000 0.000
Cd1 0.140 0.592 0.868
Cd2 0.548 0.276 0.408
Cd3 0.728 0.868 0.276
Cd4 0.272 0.132 0.724
Cd5 0.452 0.724 0.592
Cd6 0.860 0.408 0.132



Below is an optimized crystal structure of TaCo2ReBi, with properties calculated at the GGA-PBE level.

crystal system	tetragonal
final energy	-0.2262	Ha/atom
DOS(E_F)	7.57	states/eV/f.u.
DFT formation energy	2325	meV per atom

Cell: 4.543 5.233 4.543 Å, 90.00 90.00 90.00°
Positions (direct):
Bi1 0.000 0.000 0.000
Re1 0.500 0.500 0.500
Co1 0.500 0.000 0.000
Co2 0.000 0.000 0.500
Ta1 0.000 0.500 0.000



Below is an optimized crystal structure of Ni2Pt2Rh, with properties calculated at the GGA-PBE level.

crystal system	tetragonal
excess energy over the best structure of this formula in the dataset	0.000	eV per atom
final energy	-0.2233	Ha/atom
DOS(E_F)	5.77	states/eV/f.u.
DFT formation energy	122	meV per atom

Cell: 7.148 7.148 2.758 Å, 90.00 90.00 90.00°
Positions (direct):
Ni1 0.620 0.120 0.000
Ni2 0.380 0.880 0.000
Ni3 0.880 0.620 0.000
Ni4 0.120 0.380 0.000
Pt1 0.323 0.177 0.500
Pt2 0.823 0.323 0.500
Pt3 0.177 0.677 0.500
Pt4 0.677 0.823 0.500
Rh1 0.500 0.500 0.000
Rh2 0.000 0.000 0.000



Below is an optimized crystal structure of TiV2Fe2, with properties calculated at the GGA-PBE level.

crystal system	orthorhombic
excess energy over the best structure of this formula in the dataset	0.029	eV per atom
final energy	-0.3157	Ha/atom
DOS(E_F)	5.13	states/eV/f.u.
DFT formation energy	21	meV per atom

Cell: 2.836 2.806 8.279 Å, 80.24 90.00 90.00°
Positions (direct):
Fe1 0.500 0.407 0.186
Fe2 0.500 0.593 0.814
V1 0.000 0.815 0.370
V2 0.000 0.185 0.630
Ti1 0.000 0.000 0.000



Below is an optimized crystal structure of SbAsIr2, with properties calculated at the GGA-PBE level.

crystal system	monoclinic
excess energy over the best structure of this formula in the dataset	0.000	eV per atom
final energy	-0.2492	Ha/atom
DOS(E_F)	1.89	states/eV/f.u.

Cell: 4.018 4.023 6.034 Å, 90.20 90.00 90.00°
Positions (direct):
Ir1 0.000 0.875 0.112
Ir2 0.500 0.375 0.112
As1 0.500 0.874 0.880
Sb1 0.000 0.376 0.396



Below is an optimized crystal structure of Ta2SbRu, with properties calculated at the GGA-PBE level.

crystal system	orthorhombic
final energy	-0.3412	Ha/atom
DOS(E_F)	2.90	states/eV/f.u.

Cell: 2.994 4.280 5.506 Å, 90.00 90.00 90.00°
Positions (direct):
Sb1 0.500 0.500 0.750
Ta1 0.000 0.000 0.010
Ta2 0.000 0.000 0.490
Ru1 0.500 0.500 0.250



Below is an optimized crystal structure of Li2NdSbSe4, with properties calculated at the GGA-PBE level.

crystal system	monoclinic
final energy	-0.1645	Ha/atom

Cell: 4.141 6.946 7.192 Å, 69.92 90.00 90.00°
Positions (direct):
Se1 0.000 0.241 0.246
Se2 0.500 0.241 0.760
Se3 0.000 0.759 0.754
Se4 0.500 0.759 0.240
Li1 0.500 0.000 0.500
Li2 0.000 0.000 0.000
Sb1 0.500 0.500 0.000
Nd1 0.000 0.500 0.500



Below is an optimized crystal structure of BaY2Cl, with properties calculated at the GGA-PBE level.

crystal system	cubic
excess energy over the best structure of this formula in the dataset	0.843	eV per atom
final energy	-0.1444	Ha/atom
DOS(E_F)	7.88	states/eV/f.u.

Cell: 5.772 5.772 5.772 Å, 60.00 60.00 60.00°
Positions (direct):
Ba1 0.500 0.500 0.500
Y1 0.250 0.250 0.250
Y2 0.750 0.750 0.750
Cl1 0.000 0.000 0.000



Below is an optimized crystal structure of Nd2Y3Cu2, with properties calculated at the GGA-PBE level.

crystal system	monoclinic
final energy	-0.1989	Ha/atom
DOS(E_F)	8.64	states/eV/f.u.
DFT formation energy	-108	meV per atom

Cell: 3.649 6.653 9.198 Å, 116.25 90.00 105.92°
Positions (direct):
Y1 0.386 0.771 0.557
Y2 0.614 0.229 0.443
Y3 0.500 0.000 0.000
Cu1 0.834 0.667 0.766
Cu2 0.166 0.333 0.234
Nd1 0.843 0.685 0.187
Nd2 0.157 0.315 0.813



Below is an optimized crystal structure of SrNi2Se, with properties calculated at the GGA-PBE level.

crystal system	monoclinic
final energy	-0.1697	Ha/atom
DOS(E_F)	2.06	states/eV/f.u.

Cell: 4.315 4.315 5.657 Å, 70.32 70.32 53.57°
Positions (direct):
Se1 0.539 0.539 0.354
Ni1 0.261 0.261 0.218
Ni2 0.958 0.958 0.164
Sr1 0.741 0.741 0.765



Below is an optimized crystal structure of LaCdN2F, with properties calculated at the GGA-PBE level.

crystal system	tetragonal
excess energy over the best structure of this formula in the dataset	0.997	eV per atom
final energy	-0.1563	Ha/atom
DOS(E_F)	2.95	states/eV/f.u.

Cell: 4.682 3.885 4.682 Å, 90.00 90.00 90.00°
Positions (direct):
N1 0.000 0.000 0.500
N2 0.500 0.000 0.000
F1 0.000 0.000 0.000
La1 0.500 0.500 0.500
Cd1 0.000 0.500 0.000



Below is an optimized crystal structure of CaCu2Ag, with properties calculated at the GGA-PBE level.

crystal system	cubic
excess energy over the best structure of this formula in the dataset	0.079	eV per atom
final energy	-0.1198	Ha/atom
DOS(E_F)	1.43	states/eV/f.u.
DFT formation energy	1	meV per atom

Cell: 4.676 4.676 4.676 Å, 60.00 60.00 60.00°
Positions (direct):
Ca1 0.000 0.000 0.000
Cu1 0.750 0.750 0.750
Cu2 0.250 0.250 0.250
Ag1 0.500 0.500 0.500